1.
This record from the Alexandria database describes a PBEsol-optimized structure of CdRhN2F. The functional is meta-GGA SCAN.

a b c (Å): 4.104 4.104 4.243
angles (deg): 90.00 90.00 90.00
Fractional coordinates of all 5 atoms:
Cd  0.000  0.000  0.000
Rh  0.500  0.500  0.500
N  0.000  0.500  0.000
N  0.500  0.000  0.000
F  0.000  0.000  0.500

The formation energy from raw total energies comes out at 1.43 eV per atom. Its space group is P4/mmm, No. 123.



2.
This record from the Alexandria database describes a PBEsol-optimized structure of CaMgFe2. The functional is meta-GGA SCAN.

a b c (Å): 3.424 3.424 6.333
angles (deg): 90.00 90.00 90.00
Fractional coordinates of all 4 atoms:
Ca  0.000  0.000  0.000
Mg  0.000  0.000  0.500
Fe  0.500  0.500  0.326
Fe  0.500  0.500  0.674

The calculation puts the formation energy at 0.4831 eV/atom. Its space group is P4/mmm, No. 123.



3.
This record from the Alexandria database describes a PBEsol-optimized structure of FeSi4Br. The functional is meta-GGA SCAN.

a b c (Å): 5.132 5.132 5.132
angles (deg): 60.00 60.00 60.00
Fractional coordinates of all 6 atoms:
Fe  0.000  0.000  0.000
Si  0.127  0.624  0.624
Si  0.624  0.127  0.624
Si  0.624  0.624  0.127
Si  0.624  0.624  0.624
Br  0.250  0.250  0.250

The formation energy from raw total energies comes out at 0.84 eV per atom. Its space group is F-43m, No. 216.



4.
This record from the Alexandria database describes a PBEsol-optimized structure of ErTlTe2. The functional is meta-GGA SCAN.

a b c (Å): 4.321 4.321 24.015
angles (deg): 90.00 90.00 120.00
Fractional coordinates of all 12 atoms:
Er  0.000  0.000  0.000
Er  0.333  0.667  0.667
Er  0.667  0.333  0.333
Tl  0.000  0.000  0.500
Tl  0.333  0.667  0.167
Tl  0.667  0.333  0.833
Te  0.000  0.000  0.261
Te  0.000  0.000  0.739
Te  0.333  0.667  0.405
Te  0.333  0.667  0.928
Te  0.667  0.333  0.072
Te  0.667  0.333  0.595

The formation energy from raw total energies comes out at -1.12 eV per atom. Its space group is R-3m, No. 166.



5.
This record from the Alexandria database describes a PBEsol-optimized structure of Al3CuPd. The functional is meta-GGA SCAN.

a b c (Å): 4.641 4.641 4.641
angles (deg): 90.00 90.00 90.00
Fractional coordinates of all 5 atoms:
Al  0.000  0.000  0.500
Al  0.000  0.500  0.000
Al  0.500  0.000  0.000
Cu  0.500  0.500  0.500
Pd  0.000  0.000  0.000

The calculation puts the formation energy at 0.1630 eV/atom. Its space group is Pm-3m, No. 221.



6.
This record from the Alexandria database describes a PBEsol-optimized structure of RbTlAs2. The functional is meta-GGA SCAN.

a b c (Å): 7.441 7.441 7.441
angles (deg): 90.00 90.00 90.00
Fractional coordinates of all 16 atoms:
Rb  0.000  0.000  0.000
Rb  0.000  0.500  0.500
Rb  0.500  0.000  0.500
Rb  0.500  0.500  0.000
Tl  0.000  0.000  0.500
Tl  0.000  0.500  0.000
Tl  0.500  0.000  0.000
Tl  0.500  0.500  0.500
As  0.250  0.250  0.250
As  0.250  0.250  0.750
As  0.250  0.750  0.250
As  0.250  0.750  0.750
As  0.750  0.250  0.250
As  0.750  0.250  0.750
As  0.750  0.750  0.250
As  0.750  0.750  0.750

The calculation puts the formation energy at 0.3729 eV/atom. Its space group is Fm-3m, No. 225.



7.
This record from the Alexandria database describes a PBEsol-optimized structure of Be2TcP. The functional is meta-GGA SCAN.

a b c (Å): 2.984 2.984 4.770
angles (deg): 90.00 90.00 90.00
Fractional coordinates of all 4 atoms:
Be  0.000  0.000  0.000
Be  0.500  0.500  0.208
Tc  0.500  0.500  0.709
P  0.000  0.000  0.465

The calculation puts the formation energy at -0.3182 eV/atom. Its space group is P4mm, No. 99.



8.
This record from the Alexandria database describes a PBEsol-optimized structure of Na4Ga3Ge3BH4O12. The functional is meta-GGA SCAN.

a b c (Å): 9.115 9.115 9.115
angles (deg): 90.00 90.00 90.00
Fractional coordinates of all 54 atoms:
Na  0.167  0.167  0.167
Na  0.167  0.833  0.833
Na  0.333  0.333  0.667
Na  0.333  0.667  0.333
Na  0.667  0.333  0.333
Na  0.667  0.667  0.667
Na  0.833  0.167  0.833
Na  0.833  0.833  0.167
Ga  0.000  0.250  0.500
Ga  0.000  0.750  0.500
Ga  0.250  0.500  0.000
Ga  0.500  0.000  0.250
Ga  0.500  0.000  0.750
Ga  0.750  0.500  0.000
Ge  0.000  0.500  0.250
Ge  0.000  0.500  0.750
Ge  0.250  0.000  0.500
Ge  0.500  0.250  0.000
Ge  0.500  0.750  0.000
Ge  0.750  0.000  0.500
B  0.000  0.000  0.000
B  0.500  0.500  0.500
H  0.078  0.078  0.922
H  0.078  0.922  0.078
H  0.422  0.422  0.422
H  0.422  0.578  0.578
H  0.578  0.422  0.578
H  0.578  0.578  0.422
H  0.922  0.078  0.078
H  0.922  0.922  0.922
O  0.084  0.362  0.645
O  0.084  0.638  0.355
O  0.138  0.416  0.145
O  0.138  0.584  0.855
O  0.145  0.138  0.416
O  0.145  0.862  0.584
O  0.355  0.084  0.638
O  0.355  0.916  0.362
O  0.362  0.355  0.916
O  0.362  0.645  0.084
O  0.416  0.145  0.138
O  0.416  0.855  0.862
O  0.584  0.145  0.862
O  0.584  0.855  0.138
O  0.638  0.355  0.084
O  0.638  0.645  0.916
O  0.645  0.084  0.362
O  0.645  0.916  0.638
O  0.855  0.138  0.584
O  0.855  0.862  0.416
O  0.862  0.416  0.855
O  0.862  0.584  0.145
O  0.916  0.362  0.355
O  0.916  0.638  0.645

Its space group is P-43n, No. 218.



9.
This record from the Alexandria database describes a PBEsol-optimized structure of SrMg2. The functional is meta-GGA SCAN.

a b c (Å): 6.371 6.371 6.371
angles (deg): 60.00 60.00 60.00
Fractional coordinates of all 6 atoms:
Sr  0.125  0.125  0.125
Sr  0.875  0.875  0.875
Mg  0.000  0.500  0.500
Mg  0.500  0.000  0.500
Mg  0.500  0.500  0.000
Mg  0.500  0.500  0.500

The calculation puts the formation energy at -0.1001 eV/atom. Its space group is Fd-3m, No. 227.



10.
This record from the Alexandria database describes a PBEsol-optimized structure of NiPt2Rh. The functional is meta-GGA SCAN.

a b c (Å): 2.704 2.704 25.789
angles (deg): 90.00 90.00 120.00
Fractional coordinates of all 12 atoms:
Ni  0.000  0.000  0.000
Ni  0.333  0.667  0.667
Ni  0.667  0.333  0.333
Pt  0.000  0.000  0.253
Pt  0.000  0.000  0.747
Pt  0.333  0.667  0.413
Pt  0.333  0.667  0.920
Pt  0.667  0.333  0.080
Pt  0.667  0.333  0.587
Rh  0.000  0.000  0.500
Rh  0.333  0.667  0.167
Rh  0.667  0.333  0.833

The calculation puts the formation energy at -0.0961 eV/atom. Its space group is R-3m, No. 166.



11.
This record from the Alexandria database describes a PBEsol-optimized structure of TlPtBr. The functional is meta-GGA SCAN.

a b c (Å): 3.446 3.446 11.135
angles (deg): 90.00 90.00 90.00
Fractional coordinates of all 6 atoms:
Tl  0.000  0.000  0.000
Tl  0.500  0.500  0.500
Pt  0.000  0.000  0.622
Pt  0.500  0.500  0.122
Br  0.000  0.000  0.281
Br  0.500  0.500  0.781

The formation energy from raw total energies comes out at 0.27 eV per atom. The value obtained for the polymorph energy (0 for the lowest one) is 76 kJ/mol of formula units. Its space group is I4mm, No. 107.



12.
This record from the Alexandria database describes a PBEsol-optimized structure of LiZnSb2. The functional is meta-GGA SCAN.

a b c (Å): 3.820 3.820 5.777
angles (deg): 90.00 90.00 90.00
Fractional coordinates of all 4 atoms:
Li  0.000  0.000  0.000
Zn  0.500  0.500  0.709
Sb  0.000  0.000  0.511
Sb  0.500  0.500  0.192

The formation energy from raw total energies comes out at -0.03 eV per atom. Its space group is P4mm, No. 99.



13.
This record from the Alexandria database describes a PBEsol-optimized structure of TlRhBr3. The functional is meta-GGA SCAN.

a b c (Å): 5.037 5.037 5.037
angles (deg): 90.00 90.00 90.00
Fractional coordinates of all 5 atoms:
Tl  0.000  0.000  0.000
Rh  0.500  0.500  0.500
Br  0.000  0.500  0.500
Br  0.500  0.000  0.500
Br  0.500  0.500  0.000

The formation energy from raw total energies comes out at -0.48 eV per atom. Its space group is Pm-3m, No. 221.



14.
This record from the Alexandria database describes a PBEsol-optimized structure of Te16Mo9Ru3. The functional is meta-GGA SCAN.

a b c (Å): 6.972 9.650 10.145
angles (deg): 90.48 91.13 94.67
Fractional coordinates of all 28 atoms:
Te  0.000  0.000  0.000
Te  0.003  0.500  0.495
Te  0.130  0.677  0.176
Te  0.132  0.173  0.675
Te  0.170  0.213  0.303
Te  0.174  0.723  0.800
Te  0.269  0.869  0.479
Te  0.277  0.369  0.988
Te  0.499  0.984  0.117
Te  0.507  0.484  0.617
Te  0.586  0.629  0.296
Te  0.595  0.129  0.796
Te  0.641  0.176  0.427
Te  0.646  0.677  0.925
Te  0.763  0.854  0.616
Te  0.772  0.356  0.117
Mo  0.148  0.447  0.740
Mo  0.629  0.902  0.367
Mo  0.636  0.404  0.866
Mo  0.797  0.819  0.152
Mo  0.803  0.319  0.649
Mo  0.930  0.755  0.386
Mo  0.937  0.256  0.888
Mo  0.969  0.029  0.456
Mo  0.976  0.532  0.954
Ru  0.146  0.947  0.236
Ru  0.834  0.097  0.216
Ru  0.839  0.599  0.714

The formation energy from raw total energies comes out at -0.30 eV per atom. Its space group is P1, No. 1.



15.
This record from the Alexandria database describes a PBEsol-optimized structure of CaAuCl. The functional is meta-GGA SCAN.

a b c (Å): 3.947 3.947 5.830
angles (deg): 90.00 90.00 120.00
Fractional coordinates of all 3 atoms:
Ca  0.000  0.000  0.000
Au  0.667  0.333  0.308
Cl  0.333  0.667  0.742

The formation energy from raw total energies comes out at -1.47 eV per atom. The value obtained for the polymorph energy (0 for the lowest one) is 0 kJ/mol of formula units. Its space group is P3m1, No. 156.



16.
This record from the Alexandria database describes a PBEsol-optimized structure of LiY2As. The functional is meta-GGA SCAN.

a b c (Å): 3.703 3.708 6.547
angles (deg): 90.00 91.02 90.00
Fractional coordinates of all 4 atoms:
Li  0.000  0.000  0.000
Y  0.487  0.500  0.735
Y  0.513  0.500  0.265
As  0.000  0.000  0.500

The calculation puts the formation energy at -0.6541 eV/atom. Its space group is P2/m, No. 10.



17.
This record from the Alexandria database describes a PBEsol-optimized structure of AsNCl3. The functional is meta-GGA SCAN.

a b c (Å): 4.889 4.889 4.889
angles (deg): 90.00 90.00 90.00
Fractional coordinates of all 5 atoms:
As  0.000  0.000  0.000
N  0.500  0.500  0.500
Cl  0.000  0.000  0.500
Cl  0.000  0.500  0.000
Cl  0.500  0.000  0.000

The formation energy from raw total energies comes out at 0.47 eV per atom. Its space group is Pm-3m, No. 221.



18.
This record from the Alexandria database describes a PBEsol-optimized structure of AlCrSe3. The functional is meta-GGA SCAN.

a b c (Å): 4.746 4.746 4.746
angles (deg): 90.00 90.00 90.00
Fractional coordinates of all 5 atoms:
Al  0.000  0.000  0.000
Cr  0.500  0.500  0.500
Se  0.000  0.500  0.500
Se  0.500  0.000  0.500
Se  0.500  0.500  0.000

The formation energy from raw total energies comes out at 0.11 eV per atom. Its space group is Pm-3m, No. 221.



19.
This record from the Alexandria database describes a PBEsol-optimized structure of Mg2AlZn. The functional is meta-GGA SCAN.

a b c (Å): 2.957 4.133 5.947
angles (deg): 90.00 90.00 90.00
Fractional coordinates of all 4 atoms:
Mg  0.000  0.000  0.245
Mg  0.000  0.000  0.755
Al  0.500  0.500  0.500
Zn  0.500  0.500  0.000

The calculation puts the formation energy at -0.0324 eV/atom. Its space group is Pmmm, No. 47.



20.
This record from the Alexandria database describes a PBEsol-optimized structure of CsSrBr3. The functional is meta-GGA SCAN.

a b c (Å): 8.409 11.644 8.078
angles (deg): 90.00 90.00 90.00
Fractional coordinates of all 20 atoms:
Cs  0.061  0.250  0.020
Cs  0.439  0.750  0.520
Cs  0.561  0.250  0.480
Cs  0.939  0.750  0.980
Sr  0.000  0.000  0.500
Sr  0.000  0.500  0.500
Sr  0.500  0.000  0.000
Sr  0.500  0.500  0.000
Br  0.019  0.750  0.418
Br  0.206  0.543  0.797
Br  0.206  0.957  0.797
Br  0.294  0.043  0.297
Br  0.294  0.457  0.297
Br  0.481  0.250  0.918
Br  0.519  0.750  0.082
Br  0.706  0.543  0.703
Br  0.706  0.957  0.703
Br  0.794  0.043  0.203
Br  0.794  0.457  0.203
Br  0.981  0.250  0.582

The formation energy from raw total energies comes out at -2.24 eV per atom. Its space group is Pnma, No. 62.



| no. | E_tot (eV per cell) |
| --- | --- |
| 1 | -79.2 |
| 2 | -49.0 |
| 3 | -72.6 |
| 4 | -605.0 |
| 5 | -70.4 |
| 6 | -527.9 |
| 7 | -55.4 |
| 8 | -527.2 |
| 9 | -65.0 |
| 10 | -572.1 |
| 11 | -322.4 |
| 12 | -90.5 |
| 13 | -166.9 |
| 14 | -1023.0 |
| 15 | -91.2 |
| 16 | -80.9 |
| 17 | -51.1 |
| 18 | -85.8 |
| 19 | -31.3 |
| 20 | -518.7 |